Density functional theory data (GGA+U) for a geometry-optimized CoReAsO structure.

```
8
Lattice="3.117 0.000 0.000 0.000 5.961 0.000 0.000 0.000 5.946" Properties=species:S:1:pos:R:3 pbc="T T T"
Co 0.000 3.740 2.845
Co 0.000 2.221 5.818
O 1.559 4.554 1.883
O 1.559 1.407 4.856
As 0.000 4.525 5.153
As 0.000 1.436 2.180
Re 1.559 0.152 0.549
Re 1.559 5.809 3.522
```

Results
- total energy (eV/atom) = -6.96
- ΔE to the lowest computed polymorph (meV per atom) = 7
- spin magnetization (Bohr magnetons per cell) = 3.68